This record from the Alexandria database describes a relaxed structure of LaScMoO6. The functional is PBE+U.

Cell: 5.3563 5.3563 5.1425 Å, 90.00 90.00 60.00°
Element x y z (fractional)
La1 0.0000 0.0000 0.0000
Sc1 0.6666 0.6667 0.5000
Mo1 0.3333 0.3333 0.5000
O1 0.0219 0.3550 0.2865
O2 0.3550 0.0219 0.7135
O3 0.6230 0.3551 0.7135
O4 0.0219 0.6231 0.7134
O5 0.3550 0.6230 0.2865
O6 0.6230 0.0219 0.2865

Output
* calculated density: 4884 kg/m3
* final energy: -8.062 eV/atom
* crystal system: trigonal
* magnetic moment: 0.00 μB per cell
* symmetry: P312